# Tb3DyMg

Tb3DyMg after structural relaxation (GGA-PBE, Alexandria).

```
10
Lattice="6.424 -1.836 0.000 6.424 1.836 0.000 -0.728 0.000 12.828" Properties=species:S:1:pos:R:3 pbc="T T T"
Tb 0.328 0.000 2.414
Tb 1.599 0.000 5.635
Tb 4.680 0.000 0.304
Tb 7.441 0.000 12.524
Tb 10.521 0.000 7.194
Tb 11.792 0.000 10.414
Dy 2.443 0.000 9.752
Dy 9.677 0.000 3.076
Mg 5.363 0.000 4.804
Mg 6.757 0.000 8.024
```

Results
Formation energy from the elements, eV/f.u.: -0.1
Total energy, eV/atom: -4.036